# 1
DFT (GGA-PBE) results for SrCa14Tb after structural relaxation.

Values from the calculation:
crystal system: orthorhombic
E: -33.664 eV per formula unit

Unit cell a=12.8011 b=7.7774 c=7.7774 alpha=59.90 beta=90.00 gamma=90.00
Last column: nearest neighbours and their distance in Å.
Fractional coordinates of all 16 atoms:
Sr1 0.0000 0.0000 0.0000  10 Ca 3.88-3.93, 2 Tb 3.88
Ca1 0.0000 0.0011 0.4984  8 Ca 3.86-3.93, 2 Sr 3.88-3.90, 2 Tb 3.88-3.89
Ca2 0.0000 0.4984 0.0011  8 Ca 3.86-3.93, 2 Sr 3.88-3.90, 2 Tb 3.88-3.89
Ca3 0.2451 0.6637 0.6637  1 Tb 3.84, 11 Ca 3.85-3.97
Ca4 0.2490 0.1700 0.6613  10 Ca 3.82-3.95, 1 Tb 3.88, 1 Sr 3.92
Ca5 0.2490 0.6613 0.1700  10 Ca 3.82-3.95, 1 Tb 3.88, 1 Sr 3.92
Ca6 0.2525 0.1663 0.1663  11 Ca 3.87-3.93, 1 Sr 3.93
Ca7 0.5000 0.3314 0.3314  12 Ca 3.87-3.91
Ca8 0.5000 0.3325 0.8308  12 Ca 3.87-3.95
Ca9 0.5000 0.8308 0.3325  12 Ca 3.87-3.95
Ca10 0.5000 0.8310 0.8310  12 Ca 3.88-3.97
Ca11 0.7475 0.1663 0.1663  11 Ca 3.87-3.93, 1 Sr 3.93
Ca12 0.7510 0.1700 0.6613  10 Ca 3.82-3.95, 1 Tb 3.88, 1 Sr 3.92
Ca13 0.7510 0.6613 0.1700  10 Ca 3.82-3.95, 1 Tb 3.88, 1 Sr 3.92
Ca14 0.7549 0.6637 0.6637  1 Tb 3.84, 11 Ca 3.85-3.97
Tb1 0.0000 0.4997 0.4997  10 Ca 3.84-3.89, 2 Sr 3.88

=====

# 2
DFT (GGA-PBE) results for Sr2CaTb after structural relaxation.

Values from the calculation:
crystal system: tetragonal
E above lowest polymorph: 0.5 meV per atom

Unit cell a=3.9329 b=3.9329 c=11.4260 alpha=90.00 beta=90.00 gamma=90.00
Last column: nearest neighbours and their distance in Å.
Fractional coordinates of all 4 atoms:
Sr1 0.0000 0.0000 0.2366  4 Tb 3.88, 4 Sr 3.93, 4 Ca 4.10
Sr2 0.0000 0.0000 0.7634  4 Tb 3.88, 4 Sr 3.93, 4 Ca 4.10
Ca1 0.5000 0.5000 0.5000  4 Ca 3.93, 8 Sr 4.10
Tb1 0.5000 0.5000 0.0000  8 Sr 3.88, 4 Tb 3.93

=====

# 3
DFT (GGA-PBE) results for Sr2CaTb after structural relaxation.

Values from the calculation:
crystal system: trigonal
E above lowest polymorph: 0.0 meV per atom

Unit cell a=13.3255 b=13.3255 c=13.3255 alpha=16.97 beta=16.97 gamma=16.97
Last column: nearest neighbours and their distance in Å.
Fractional coordinates of all 4 atoms:
Sr1 0.0000 0.0000 0.0000  3 Tb 3.88, 6 Sr 3.93, 3 Ca 4.11
Sr2 0.1739 0.1739 0.1739  3 Tb 3.87, 6 Sr 3.93, 3 Ca 4.10
Ca1 0.4204 0.4204 0.4204  6 Ca 3.93, 6 Sr 4.10-4.11
Tb1 0.5869 0.5869 0.5869  6 Sr 3.87-3.88, 6 Tb 3.93

=====

# 4
DFT (GGA-PBE) results for SrCa2Tb after structural relaxation.

Values from the calculation:
crystal system: tetragonal
E above lowest polymorph: 47.5 meV per atom

Unit cell a=6.1662 b=6.1662 c=4.2461 alpha=90.00 beta=90.00 gamma=90.00
Last column: nearest neighbours and their distance in Å.
Fractional coordinates of all 4 atoms:
Sr1 0.0000 0.0000 0.0000  8 Ca 3.74
Ca1 0.0000 0.5000 0.5000  4 Tb 3.74, 4 Sr 3.74
Ca2 0.5000 0.0000 0.5000  4 Tb 3.74, 4 Sr 3.74
Tb1 0.5000 0.5000 0.0000  8 Ca 3.74

=====

# 5
DFT (GGA-PBE) results for SrCa2Tb after structural relaxation.

Values from the calculation:
crystal system: cubic
E above lowest polymorph: 47.3 meV per atom

Unit cell a=6.1172 b=6.1172 c=6.1172 alpha=60.00 beta=60.00 gamma=60.00
Last column: nearest neighbours and their distance in Å.
Fractional coordinates of all 4 atoms:
Sr1 0.0000 0.0000 0.0000  8 Ca 3.75
Ca1 0.2500 0.2500 0.2500  4 Tb 3.75, 4 Sr 3.75
Ca2 0.7500 0.7500 0.7500  4 Sr 3.75, 4 Tb 3.75
Tb1 0.5000 0.5000 0.5000  8 Ca 3.75

=====

# 6
DFT (GGA-PBE) results for SrCa2Tb after structural relaxation.

Values from the calculation:
crystal system: trigonal
E above lowest polymorph: 13.1 meV per atom

Unit cell a=12.9944 b=12.9944 c=12.9944 alpha=17.06 beta=17.06 gamma=17.06
Last column: nearest neighbours and their distance in Å.
Fractional coordinates of all 4 atoms:
Sr1 0.0000 0.0000 0.0000  6 Sr 3.86, 6 Ca 4.06
Ca1 0.2449 0.2449 0.2449  3 Tb 3.74, 6 Ca 3.86, 3 Sr 4.06
Ca2 0.7551 0.7551 0.7551  3 Tb 3.74, 6 Ca 3.86, 3 Sr 4.06
Tb1 0.5000 0.5000 0.5000  6 Ca 3.74, 6 Tb 3.86

=====

no.,mass density (g cm⁻³)
1,2.0
2,3.5
3,3.5
4,3.4
5,3.4
6,3.3